{
  "formula": "DyScCu2",
  "functional": "GGA-PBE",
  "state": "relaxed",
  "formation_energy_ev_per_atom": -0.254,
  "lattice_angstrom": [[3.3552, 0.0000, 0.0000], [0.0000, 3.3552, 0.0000], [0.0000, 0.0000, 6.7516]],
  "species": ["Cu", "Cu", "Sc", "Dy"],
  "frac_coords": [[0.0000, 0.0000, 0.7792], [0.0000, 0.0000, 0.2208], [0.5000, 0.5000, 0.0000], [0.5000, 0.5000, 0.5000]]
}